! PBE-GGA K3Sb4Pt2, relaxed; values from VASP
! formation energy without anion corrections: -407 meV/atom
! symmetry: C2/c
&SYSTEM
  ibrav = 0, nat = 18, ntyp = 3
/
ATOMIC_SPECIES
K 39.10 K.upf
Sb 121.76 Sb.upf
Pt 195.08 Pt.upf
CELL_PARAMETERS angstrom
8.1078 -5.5598 0.0000
8.1078 5.5598 0.0000
-2.7599 0.0000 6.5973
ATOMIC_POSITIONS crystal
K 0.0897 0.9103 0.7500
K 0.2696 0.4936 0.9085
K 0.4936 0.2696 0.4085
K 0.5064 0.7304 0.5915
K 0.7304 0.5064 0.0915
K 0.9103 0.0897 0.2500
Sb 0.1028 0.2708 0.0669
Sb 0.1218 0.5687 0.3320
Sb 0.2708 0.1028 0.5669
Sb 0.4313 0.8782 0.1680
Sb 0.5687 0.1218 0.8320
Sb 0.7292 0.8972 0.4331
Sb 0.8782 0.4313 0.6680
Sb 0.8972 0.7292 0.9331
Pt 0.0906 0.3497 0.4676
Pt 0.3497 0.0906 0.9676
Pt 0.6503 0.9094 0.0324
Pt 0.9094 0.6503 0.5324